No. 1
This record from Alexandria via LeMat-Bulk describes SrIn12Ni6 after structural relaxation. The functional is PBE.

abc: 7.7042 7.7042 7.7042
angles: 105.00 105.00 105.00
Sites, in units of the cell vectors:
Sr 0.0000 0.0000 0.0000
In 0.8781 0.1219 0.5000
In 0.8345 0.5742 0.5742
In 0.5742 0.5742 0.8345
In 0.4258 0.1655 0.4258
In 0.4258 0.4258 0.1655
In 0.1655 0.4258 0.4258
In 0.1219 0.5000 0.8781
In 0.5000 0.8781 0.1219
In 0.1219 0.8781 0.5000
In 0.8781 0.5000 0.1219
In 0.5000 0.1219 0.8781
In 0.5742 0.8345 0.5742
Ni 0.6896 0.2642 0.2642
Ni 0.2642 0.2642 0.6896
Ni 0.2642 0.6896 0.2642
Ni 0.7358 0.7358 0.3104
Ni 0.3104 0.7358 0.7358
Ni 0.7358 0.3104 0.7358

Computed properties:
Symmetry: R-3m (166)
Density of states at the Fermi level in states/eV/atom: 0.44
DFT total energy in eV/atom: -3.746

=====

No. 2
This record from Alexandria via LeMat-Bulk describes Ta3Ru2W2 after structural relaxation. The functional is PBE.

abc: 4.5372 4.5280 8.2858
angles: 89.95 123.12 119.97
Sites, in units of the cell vectors:
Ta 0.0000 0.0000 0.0000
Ta 0.2831 0.1418 0.7120
Ta 0.7169 0.8582 0.2880
Ru 0.5510 0.2765 0.4142
Ru 0.4490 0.7235 0.5858
W 0.8622 0.4311 0.1470
W 0.1378 0.5689 0.8530

Computed properties:
Symmetry: P-1 (2)
Density of states at the Fermi level in states/eV/atom: 1.11
DFT total energy in eV/atom: -11.529

=====

No. 3
This record from Alexandria via LeMat-Bulk describes Ba2Al3Sn5 after structural relaxation. The functional is PBE.

abc: 7.2631 9.9278 9.9278
angles: 64.80 68.54 68.54
Sites, in units of the cell vectors:
Ba 0.1256 0.6308 0.1180
Ba 0.6256 0.1180 0.6308
Ba 0.8744 0.3692 0.8820
Ba 0.3744 0.8820 0.3692
Al 0.3779 0.5046 0.7397
Al 0.8779 0.7397 0.5046
Al 0.6221 0.4954 0.2603
Al 0.1221 0.2603 0.4954
Al 0.2500 0.0000 0.0000
Al 0.7500 0.0000 0.0000
Sn 0.3855 0.2376 0.9915
Sn 0.8855 0.9915 0.2376
Sn 0.6145 0.7624 0.0085
Sn 0.1145 0.0085 0.7624
Sn 0.5091 0.7409 0.7409
Sn 0.4909 0.2591 0.2591
Sn 0.7500 0.5000 0.5000
Sn 0.2500 0.5000 0.5000
Sn 0.9909 0.2591 0.2591
Sn 0.0091 0.7409 0.7409

Computed properties:
Symmetry: Ibam (72)
Density of states at the Fermi level in states/eV/atom: 0.35
DFT total energy in eV/atom: -3.822

=====

No. 4
This record from Alexandria via LeMat-Bulk describes Ac5Cd2Pb after structural relaxation. The functional is PBE.

abc: 8.5705 8.5705 10.2331
angles: 114.76 114.76 90.00
Sites, in units of the cell vectors:
Ac 0.5118 0.6840 0.6959
Ac 0.8160 0.9882 0.3041
Ac 0.0000 0.0000 0.0000
Ac 0.5000 0.5000 0.0000
Ac 0.1840 0.0118 0.6959
Ac 0.6840 0.1840 0.6959
Ac 0.0118 0.5118 0.6959
Ac 0.3160 0.8160 0.3041
Ac 0.9882 0.4882 0.3041
Ac 0.4882 0.3160 0.3041
Cd 0.1242 0.3758 0.0000
Cd 0.6242 0.1242 0.0000
Cd 0.3758 0.8758 0.0000
Cd 0.8758 0.6242 0.0000
Pb 0.7500 0.7500 0.5000
Pb 0.2500 0.2500 0.5000

Computed properties:
Symmetry: I4/mcm (140)
Density of states at the Fermi level in states/eV/atom: 1.28
DFT total energy in eV/atom: -3.534